No. 1
Entry from the Alexandria database: an optimized crystal structure of LiUPdPt (PBE).

Results
DOS(E_F) (states/eV per cell): 22.81
Size of the total moment (μB per atom): 0.606
V (Å³/atom): 18.4
Final energy (eV per cell): -104.81

Unit cell a=6.654 b=6.654 c=6.654 alpha=90.00 beta=90.00 gamma=90.00
Space group F-43m (No. 216)
Inequivalent atoms, fractional coordinates:
Li: 0.000 0.000 0.000 [4 per cell]
U: 0.000 0.000 0.500 [4 per cell]
Pd: 0.250 0.250 0.250 [4 per cell]
Pt: 0.250 0.250 0.750 [4 per cell]



No. 2
Entry from the Alexandria database: an optimized crystal structure of Li2ZnPdPt (PBE).

Results
DOS(E_F) (states/eV per cell): 2.37
Size of the total moment (μB per atom): 0.000
V (Å³/atom): 20.7
Final energy (eV per cell): -15.37

Unit cell a=4.489 b=4.489 c=5.126 alpha=90.00 beta=90.00 gamma=90.00
Space group P4/mmm (No. 123)
Inequivalent atoms, fractional coordinates:
Li: 0.000 0.500 0.000 [2 per cell]
Zn: 0.000 0.000 0.500 [1 per cell]
Pd: 0.500 0.500 0.500 [1 per cell]
Pt: 0.500 0.500 0.000 [1 per cell]



No. 3
Entry from the Alexandria database: an optimized crystal structure of Li2Zn5PdPt2 (PBE).

Results
DOS(E_F) (states/eV per cell): 5.27
Size of the total moment (μB per atom): 0.000
V (Å³/atom): 15.7
Final energy (eV per cell): -63.71

Unit cell a=8.892 b=8.892 c=3.970 alpha=90.00 beta=90.00 gamma=90.00
Space group P4/mbm (No. 127)
Inequivalent atoms, fractional coordinates:
Li: 0.169 0.331 0.000 [4 per cell]
Zn: 0.000 0.500 0.500 [2 per cell]
Zn: 0.075 0.805 0.500 [8 per cell]
Pd: 0.000 0.000 0.000 [2 per cell]
Pt: 0.128 0.628 0.000 [4 per cell]



No. 4
Entry from the Alexandria database: an optimized crystal structure of LiZr2PdPt5 (PBE).

Results
DOS(E_F) (states/eV per cell): 20.20
Size of the total moment (μB per atom): 0.000
V (Å³/atom): 21.2
Final energy (eV per cell): -226.39

Unit cell a=7.731 b=7.731 c=12.757 alpha=90.00 beta=90.00 gamma=90.00
Space group I4/mcm (No. 140)
Inequivalent atoms, fractional coordinates:
Li: 0.000 0.000 0.250 [4 per cell]
Zr: 0.136 0.364 0.000 [8 per cell]
Pd: 0.000 0.500 0.250 [4 per cell]
Pt: 0.000 0.000 0.000 [4 per cell]
Pt: 0.166 0.334 0.388 [16 per cell]



No. 5
Entry from the Alexandria database: an optimized crystal structure of LiZr2PdPt (PBE).

Results
DOS(E_F) (states/eV per cell): 6.58
Size of the total moment (μB per atom): 0.000
V (Å³/atom): 21.2
Final energy (eV per cell): -29.25

Unit cell a=5.037 b=5.037 c=4.185 alpha=90.00 beta=90.00 gamma=90.00
Space group P4/mmm (No. 123)
Inequivalent atoms, fractional coordinates:
Li: 0.000 0.000 0.000 [1 per cell]
Zr: 0.000 0.500 0.500 [2 per cell]
Pd: 0.000 0.000 0.500 [1 per cell]
Pt: 0.500 0.500 0.000 [1 per cell]



No. 6
Entry from the Alexandria database: an optimized crystal structure of Li2Pu3Pd3 (PBE).

Results
DOS(E_F) (states/eV per cell): 56.62
Size of the total moment (μB per atom): 0.784
V (Å³/atom): 20.9
Final energy (eV per cell): -129.27

Unit cell a=3.005 b=5.248 c=21.190 alpha=90.00 beta=90.00 gamma=90.00
Space group Immm (No. 71)
Inequivalent atoms, fractional coordinates:
Li: 0.000 0.000 0.231 [4 per cell]
Pu: 0.000 0.000 0.000 [2 per cell]
Pu: 0.000 0.500 0.123 [4 per cell]
Pd: 0.000 0.000 0.500 [2 per cell]
Pd: 0.000 0.500 0.371 [4 per cell]



No. 7
Entry from the Alexandria database: an optimized crystal structure of LiPuPd (PBE).

Results
DOS(E_F) (states/eV per cell): 9.59
Size of the total moment (μB per atom): 2.061
V (Å³/atom): 19.4
E above lowest polymorph (eV per atom): 0.128

Unit cell a=4.7304 b=4.7304 c=2.9957 alpha=90.00 beta=90.00 gamma=120.00
Space group P3m1 (No. 156)
Inequivalent atoms, fractional coordinates:
Li: 0.0000 0.0000 0.0000 [1 per cell]
Pu: 0.6667 0.3333 0.5008 [1 per cell]
Pd: 0.3333 0.6667 0.0021 [1 per cell]



No. 8
Entry from the Alexandria database: an optimized crystal structure of LiPuPd4 (PBE).

Results
DOS(E_F) (states/eV per cell): 70.74
Size of the total moment (μB per atom): 0.910
V (Å³/atom): 18.1
E above lowest polymorph (eV per atom): 0.000

Unit cell a=7.578 b=7.578 c=7.578 alpha=90.00 beta=90.00 gamma=90.00
Space group F-43m (No. 216)
Inequivalent atoms, fractional coordinates:
Li: 0.000 0.000 0.000 [4 per cell]
Pu: 0.250 0.250 0.250 [4 per cell]
Pd: 0.125 0.125 0.625 [16 per cell]